Compound: Nd3PuS4
Source: the Alexandria database
Functional: PBE
Structure: optimized geometry

a = 5.723 Å, b = 5.723 Å, c = 5.723 Å
α = 90.00°, β = 90.00°, γ = 90.00°
Fractional coordinates of all 8 atoms:
Nd 0.000 0.000 0.500
Nd 0.000 0.500 0.000
Nd 0.500 0.000 0.000
Pu 0.500 0.500 0.500
S 0.000 0.000 0.000
S 0.000 0.500 0.500
S 0.500 0.000 0.500
S 0.500 0.500 0.000

The value obtained for the total magnetization is 6.11 μB per formula unit. As for the energy relative to the lowest polymorph listed for this composition: 7.6 meV/atom. For the total energy, the calculation gives -7.612 eV/atom. For the uncorrected formation energy, the calculation gives -189.9 kJ/mol of atoms. As for the symmetry: Pm-3m. The calculation puts the theoretical density at 7.13 g cm⁻³.